# AcSnAu2

AcSnAu2 at its PBEsol-relaxed geometry (meta-GGA SCAN, Alexandria).

abc: 7.2824 7.2824 7.2824
angles: 90.00 90.00 90.00
With the nearest neighbours (Å) after each atom.
Fractional coordinates of all 16 atoms:
Ac (0.0000, 0.0000, 0.0000)  8 Au 3.15
Ac (0.0000, 0.5000, 0.5000)  8 Au 3.15
Ac (0.5000, 0.0000, 0.5000)  8 Au 3.15
Ac (0.5000, 0.5000, 0.0000)  8 Au 3.15
Sn (0.0000, 0.0000, 0.5000)  8 Au 3.15
Sn (0.0000, 0.5000, 0.0000)  8 Au 3.15
Sn (0.5000, 0.0000, 0.0000)  8 Au 3.15
Sn (0.5000, 0.5000, 0.5000)  8 Au 3.15
Au (0.2500, 0.2500, 0.2500)  4 Ac 3.15, 4 Sn 3.15
Au (0.2500, 0.2500, 0.7500)  4 Ac 3.15, 4 Sn 3.15
Au (0.2500, 0.7500, 0.2500)  4 Ac 3.15, 4 Sn 3.15
Au (0.2500, 0.7500, 0.7500)  4 Ac 3.15, 4 Sn 3.15
Au (0.7500, 0.2500, 0.2500)  4 Ac 3.15, 4 Sn 3.15
Au (0.7500, 0.2500, 0.7500)  4 Ac 3.15, 4 Sn 3.15
Au (0.7500, 0.7500, 0.2500)  4 Sn 3.15, 4 Ac 3.15
Au (0.7500, 0.7500, 0.7500)  4 Ac 3.15, 4 Sn 3.15

Calculated values
Uncorrected energy (Ha/atom): -2.460
Formation enthalpy at 0 K (meV per atom): -773